# PBE CrAg2Br, optimized geometry
data_CrAg2Br
_chemical_formula_sum 'Cr2 Ag4 Br2'
_cell_length_a 4.871
_cell_length_b 4.871
_cell_length_c 6.852
_cell_angle_alpha 90.00
_cell_angle_beta 90.00
_cell_angle_gamma 90.00
_symmetry_space_group_name_H-M 'I -4 m 2'
_symmetry_Int_Tables_number 119
_symmetry_space_group_name_Hall 'I -4 -2'
loop_
_atom_site_label
_atom_site_type_symbol
_atom_site_fract_x
_atom_site_fract_y
_atom_site_fract_z
Cr1 Cr 0.000 0.000 0.000
Ag1 Ag 0.000 0.000 0.500
Ag2 Ag 0.000 0.500 0.750
Br1 Br 0.000 0.500 0.250
# - Total magnetization: 9.4 Bohr magnetons per cell
# - Energy relative to the lowest polymorph listed for this composition: 255 meV/atom
# - V: 20.3 Å³/atom
# - Uncorrected energy: -3.81 eV/atom